The following is a DFT calculation (PBE) of an optimized crystal structure of La6Tl5In.

Summary:
Raw total energy (eV per atom): -4.118

a b c (Å): 5.645 7.915 16.932
angles (deg): 90.00 90.00 90.00
Space group Immm (No. 71)
Symmetry-distinct sites (fractional):
La 0.000 0.248 0.000 [4 per cell]
La 0.000 0.251 0.334 [8 per cell]
Tl 0.000 0.000 0.167 [4 per cell]
Tl 0.000 0.000 0.500 [2 per cell]
Tl 0.000 0.500 0.167 [4 per cell]
In 0.000 0.500 0.500 [2 per cell]